Entry 1:
Here is a relaxed structure of CsCaCl3 from Alexandria. Energies are from PBE.

Computed properties:
Formation energy without anion corrections = -2.237 eV per atom
Space-group type = C2/c (15)
Raw total energy = -3.92 eV/atom

Lattice parameters (Å, degrees): 16.2334 10.2801 10.2801 92.92 130.69 49.31
Positions (direct):
Cl 0.8576 0.6327 0.0997
Cl 0.5748 0.4024 0.7474
Ca 0.7500 0.4890 0.9890
Cl 0.9446 0.9603 0.6456
Cs 0.8243 0.9752 0.2244
Cl 0.1424 0.3673 0.9003
Cl 0.0554 0.0397 0.3544
Cs 0.6757 0.7244 0.4752
Ca 0.2500 0.5110 0.0110
Cl 0.5554 0.1456 0.4603
Cl 0.4252 0.5976 0.2526
Cs 0.3243 0.2756 0.5248
Cl 0.3576 0.4003 0.8673
Cl 0.9252 0.2474 0.9024
Cl 0.0748 0.7526 0.0976
Ca 0.2500 0.8209 0.3209
Cl 0.6424 0.5997 0.1327
Ca 0.7500 0.1791 0.6791
Cl 0.4446 0.8544 0.5397
Cs 0.1757 0.0248 0.7756

Entry 2:
Here is a relaxed structure of Cs6CaCl8 from Alexandria. Energies are from PBE.

Computed properties:
Formation energy without anion corrections = -2.044 eV per atom
Space-group type = R-3 (148)
Raw total energy = -3.50 eV/atom

Lattice parameters (Å, degrees): 8.9103 8.9103 8.9103 69.23 69.23 69.23
Positions (direct):
Cl 0.6990 0.9112 0.1544
Ca 0.0000 0.0000 0.0000
Cl 0.3010 0.0888 0.8456
Cs 0.9378 0.5113 0.3021
Cl 0.0888 0.8456 0.3010
Cl 0.1544 0.6990 0.9112
Cl 0.6560 0.6560 0.6560
Cs 0.3021 0.9378 0.5113
Cs 0.4887 0.6979 0.0622
Cs 0.6979 0.0622 0.4887
Cl 0.8456 0.3010 0.0888
Cs 0.5113 0.3021 0.9378
Cl 0.3440 0.3440 0.3440
Cl 0.9112 0.1544 0.6990
Cs 0.0622 0.4887 0.6979

Entry 3:
Here is a relaxed structure of Cs4Ca3Cl10 from Alexandria. Energies are from PBE.

Computed properties:
Formation energy without anion corrections = -2.250 eV per atom
Space-group type = I4/mmm (139)
Raw total energy = -3.89 eV/atom

Lattice parameters (Å, degrees): 5.4637 5.4637 19.9745 97.86 97.86 90.00
Positions (direct):
Cl 0.1382 0.6382 0.2764
Ca 0.8596 0.8596 0.7191
Cl 0.2094 0.2094 0.4188
Cl 0.6382 0.1382 0.2764
Ca 0.0000 0.0000 0.0000
Cl 0.5000 0.0000 0.0000
Cs 0.5689 0.5689 0.1378
Cs 0.2980 0.2980 0.5960
Cl 0.9302 0.9302 0.8604
Cs 0.4311 0.4311 0.8622
Ca 0.1404 0.1404 0.2809
Cl 0.7906 0.7906 0.5812
Cs 0.7020 0.7020 0.4040
Cl 0.3618 0.8618 0.7236
Cl 0.0000 0.5000 0.0000
Cl 0.0698 0.0698 0.1396
Cl 0.8618 0.3618 0.7236

Entry 4:
Here is a relaxed structure of CsCaCl3 from Alexandria. Energies are from PBE.

Computed properties:
Formation energy without anion corrections = -2.284 eV per atom
Space-group type = Pm-3m (221)
Raw total energy = -3.96 eV/atom

Lattice parameters (Å, degrees): 5.4669 5.4669 5.4669 90.00 90.00 90.00
Positions (direct):
Cl 0.5000 0.0000 0.5000
Cs 0.0000 0.0000 0.0000
Cl 0.5000 0.5000 0.0000
Cl 0.0000 0.5000 0.5000
Ca 0.5000 0.5000 0.5000

Entry 5:
Here is a relaxed structure of CsCaCl3 from Alexandria. Energies are from PBE.

Computed properties:
Formation energy without anion corrections = -1.958 eV per atom
Space-group type = R3m (160)
Raw total energy = -3.64 eV/atom

Lattice parameters (Å, degrees): 6.9232 6.9232 6.9232 85.31 85.31 85.31
Positions (direct):
Cs 0.7775 0.7775 0.7775
Cl 0.2874 0.8619 0.8619
Ca 0.0863 0.0863 0.0863
Cl 0.8619 0.2874 0.8619
Cl 0.8619 0.8619 0.2874

Entry 6:
Here is a relaxed structure of Cs2Ca3Cl8 from Alexandria. Energies are from PBE.

Computed properties:
Formation energy without anion corrections = -2.299 eV per atom
Space-group type = C2/m (12)
Raw total energy = -4.03 eV/atom

Lattice parameters (Å, degrees): 7.2217 8.4120 9.3192 116.83 106.47 90.00
Positions (direct):
Cl 0.0313 0.3956 0.7912
Cl 0.6141 0.1257 0.8084
Ca 0.5000 0.0000 0.0000
Cl 0.1006 0.9087 0.8174
Ca 0.0000 0.2585 0.0000
Cs 0.3284 0.2711 0.5422
Cl 0.8994 0.0913 0.1826
Cl 0.9687 0.6044 0.2088
Cl 0.3859 0.3173 0.1916
Ca 0.0000 0.7415 0.0000
Cs 0.6716 0.7289 0.4578
Cl 0.3859 0.8743 0.1916
Cl 0.6141 0.6827 0.8084